Entry 1:
CaTmHg6 | PBE-GGA | optimized geometry

Cell lengths 10.943, 10.943, 10.943 Å; angles 32.84, 32.84, 32.84 degrees
Fractional positions:
Ca 0.000 0.000 0.000
Tm 0.500 0.500 0.500
Hg 0.240 0.748 0.748
Hg 0.252 0.252 0.760
Hg 0.252 0.760 0.252
Hg 0.748 0.240 0.748
Hg 0.748 0.748 0.240
Hg 0.760 0.252 0.252

Properties
Calculated density = 6.84 g cm⁻³
Total magnetic moment = 0.000 μB per cell
Energy above the lowest structure with this stoichiometry = 452 meV/atom
Formation enthalpy at 0 K = 0.9 eV per formula unit
DOS at the Fermi energy = 3.74 states/eV per cell

---

Entry 2:
BaNbPt2 | PBE-GGA | optimized geometry

Cell lengths 7.671, 7.671, 7.521 Å; angles 90.00, 90.00, 90.00 degrees
Fractional positions:
Ba 0.000 0.000 0.000
Ba 0.000 0.500 0.250
Ba 0.500 0.000 0.750
Ba 0.500 0.500 0.500
Nb 0.000 0.000 0.500
Nb 0.000 0.500 0.750
Nb 0.500 0.000 0.250
Nb 0.500 0.500 0.000
Pt 0.171 0.250 0.625
Pt 0.250 0.671 0.875
Pt 0.250 0.829 0.375
Pt 0.329 0.250 0.125
Pt 0.671 0.750 0.125
Pt 0.750 0.171 0.375
Pt 0.750 0.329 0.875
Pt 0.829 0.750 0.625

Properties
Calculated density = 9.31 g cm⁻³
Total magnetic moment = 0.000 μB per cell
Energy above the lowest structure with this stoichiometry = 0 meV/atom
Formation enthalpy at 0 K = -0.3 eV per formula unit
DOS at the Fermi energy = 21.60 states/eV per cell

---

Entry 3:
TlCuRu2 | PBE-GGA | optimized geometry

Cell lengths 4.058, 4.058, 7.574 Å; angles 90.00, 90.00, 90.00 degrees
Fractional positions:
Tl 0.000 0.000 0.000
Tl 0.500 0.500 0.500
Cu 0.000 0.500 0.750
Cu 0.500 0.000 0.250
Ru 0.000 0.000 0.500
Ru 0.000 0.500 0.250
Ru 0.500 0.000 0.750
Ru 0.500 0.500 0.000

Properties
Calculated density = 12.52 g cm⁻³
Total magnetic moment = 0.003 μB per cell
Energy above the lowest structure with this stoichiometry = 158 meV/atom
Formation enthalpy at 0 K = 2.1 eV per formula unit
DOS at the Fermi energy = 10.71 states/eV per cell

---

Entry 4:
NaYTa3 | PBE-GGA | optimized geometry

Cell lengths 5.074, 5.074, 5.074 Å; angles 90.00, 90.00, 90.00 degrees
Fractional positions:
Na 0.000 0.000 0.000
Y 0.500 0.500 0.500
Ta 0.000 0.500 0.500
Ta 0.500 0.000 0.500
Ta 0.500 0.500 0.000

Properties
Calculated density = 8.33 g cm⁻³
Total magnetic moment = 0.000 μB per cell
Energy above the lowest structure with this stoichiometry = 373 meV/atom
Formation enthalpy at 0 K = 11.7 eV per formula unit
DOS at the Fermi energy = 8.01 states/eV per cell

---

Entry 5:
Re3HgF | PBE-GGA | optimized geometry

Cell lengths 5.319, 5.319, 5.319 Å; angles 90.00, 90.00, 90.00 degrees
Fractional positions:
Re 0.000 0.000 0.500
Re 0.000 0.500 0.000
Re 0.500 0.000 0.000
Hg 0.000 0.000 0.000
F 0.500 0.500 0.500

Properties
Calculated density = 8.59 g cm⁻³
Total magnetic moment = 13.281 μB per cell
Energy above the lowest structure with this stoichiometry = 1630 meV/atom
DOS at the Fermi energy = 2.42 states/eV per cell
Raw formation energy = 3.22 eV/atom

---

Q: Which formula does entry 4 have?
A: NaYTa3

---

Q: What is the formula in the fifth record?
A: Re3HgF

---

Q: Which value of DOS at the Fermi energy does entry 2 give?
A: 21.60 states/eV per cell

---

Q: Number 5 is which compound?
A: Re3HgF